No. 1
# LuBeAu2 (GGA-PBE, optimized geometry)
data_LuBeAu2
_chemical_formula_sum 'Lu1 Be1 Au2'
_space_group_name_H-M_alt 'P 1'
_space_group_IT_number 1
_space_group_name_Hall 'P 1'
_cell_length_a 4.645
_cell_length_b 4.645
_cell_length_c 4.645
_cell_angle_alpha 60.00
_cell_angle_beta 60.00
_cell_angle_gamma 60.00
loop_
_atom_site_label
_atom_site_type_symbol
_atom_site_fract_x
_atom_site_fract_y
_atom_site_fract_z
Au1 Au 0.750 0.750 0.750
Au2 Au 0.000 0.000 0.000
Be1 Be 0.500 0.500 0.500
Lu1 Lu 0.250 0.250 0.250
# Space-group type: F-43m
# Total energy: -15.97 eV for the cell shown



No. 2
# SrAsIrO (GGA-PBE, optimized geometry)
data_SrAsIrO
_chemical_formula_sum 'Sr2 As2 Ir2 O2'
_space_group_name_H-M_alt 'P 1'
_space_group_IT_number 1
_space_group_name_Hall 'P 1'
_cell_length_a 4.054
_cell_length_b 6.848
_cell_length_c 5.805
_cell_angle_alpha 90.00
_cell_angle_beta 90.00
_cell_angle_gamma 90.00
loop_
_atom_site_label
_atom_site_type_symbol
_atom_site_fract_x
_atom_site_fract_y
_atom_site_fract_z
Ir1 Ir 0.500 0.501 0.099
Ir2 Ir 0.500 0.499 0.599
Sr1 Sr 0.000 0.153 0.424
Sr2 Sr 0.000 0.847 0.924
As1 As 0.000 0.655 0.392
As2 As 0.000 0.345 0.892
O1 O 0.500 0.717 0.839
O2 O 0.500 0.283 0.339
# Energy relative to the lowest polymorph listed for this composition: 0.390 eV/atom
# Space-group type: Pmc2_1



No. 3
# GdMgZn (GGA-PBE, optimized geometry)
data_GdMgZn
_chemical_formula_sum 'Gd4 Mg4 Zn4'
_space_group_name_H-M_alt 'P 1'
_space_group_IT_number 1
_space_group_name_Hall 'P 1'
_cell_length_a 6.473
_cell_length_b 6.344
_cell_length_c 8.204
_cell_angle_alpha 87.08
_cell_angle_beta 86.40
_cell_angle_gamma 56.42
loop_
_atom_site_label
_atom_site_type_symbol
_atom_site_fract_x
_atom_site_fract_y
_atom_site_fract_z
Mg1 Mg 0.212 0.923 0.645
Mg2 Mg 0.822 0.062 0.915
Mg3 Mg 0.697 0.425 0.643
Mg4 Mg 0.373 0.637 0.064
Zn1 Zn 0.454 0.102 0.142
Zn2 Zn 0.589 0.819 0.871
Zn3 Zn 0.465 0.764 0.347
Zn4 Zn 0.898 0.702 0.174
Gd1 Gd 0.922 0.208 0.263
Gd2 Gd 0.282 0.424 0.425
Gd3 Gd 0.143 0.397 0.854
Gd4 Gd 0.750 0.887 0.540
# Space-group type: P1
# Total energy: -31.25 eV for the cell shown



No. 4
# NdAgSnSeS2 (GGA-PBE, optimized geometry)
data_NdAgSnSeS2
_chemical_formula_sum 'Nd2 Ag2 Sn2 Se2 S4'
_space_group_name_H-M_alt 'P 1'
_space_group_IT_number 1
_space_group_name_Hall 'P 1'
_cell_length_a 6.988
_cell_length_b 6.988
_cell_length_c 11.009
_cell_angle_alpha 90.00
_cell_angle_beta 90.00
_cell_angle_gamma 146.02
loop_
_atom_site_label
_atom_site_type_symbol
_atom_site_fract_x
_atom_site_fract_y
_atom_site_fract_z
Se1 Se 0.395 0.605 0.750
Se2 Se 0.605 0.395 0.250
Nd1 Nd 0.500 0.500 0.500
Nd2 Nd 0.500 0.500 0.000
Ag1 Ag 0.975 0.025 0.250
Ag2 Ag 0.025 0.975 0.750
S1 S 0.862 0.138 0.068
S2 S 0.138 0.862 0.932
S3 S 0.138 0.862 0.568
S4 S 0.862 0.138 0.432
Sn1 Sn 0.728 0.272 0.750
Sn2 Sn 0.272 0.728 0.250
# Space-group type: Cmcm
# Total energy: -57.69 eV for the cell shown



Repeat the first record exactly.
# LuBeAu2 (GGA-PBE, optimized geometry)
data_LuBeAu2
_chemical_formula_sum 'Lu1 Be1 Au2'
_space_group_name_H-M_alt 'P 1'
_space_group_IT_number 1
_space_group_name_Hall 'P 1'
_cell_length_a 4.645
_cell_length_b 4.645
_cell_length_c 4.645
_cell_angle_alpha 60.00
_cell_angle_beta 60.00
_cell_angle_gamma 60.00
loop_
_atom_site_label
_atom_site_type_symbol
_atom_site_fract_x
_atom_site_fract_y
_atom_site_fract_z
Au1 Au 0.750 0.750 0.750
Au2 Au 0.000 0.000 0.000
Be1 Be 0.500 0.500 0.500
Lu1 Lu 0.250 0.250 0.250
# Space-group type: F-43m
# Total energy: -15.97 eV for the cell shown